Compound: Ti2BiH
Source: Alexandria via LeMat-Bulk
Functional: GGA-PBE
Structure: relaxed

POSCAR file:
```
Ti2BiH
1.0
3.301 0.000 0.000
-1.650 2.859 0.000
0.000 0.000 20.383
Ti Bi H
6 3 3
Direct
0.000 0.000 0.216
0.000 0.000 0.784
0.333 0.667 0.451
0.333 0.667 0.883
0.667 0.333 0.117
0.667 0.333 0.549
0.000 0.000 0.000
0.333 0.667 0.667
0.667 0.333 0.333
0.000 0.000 0.500
0.333 0.667 0.167
0.667 0.333 0.833
```

Calculated values
The final energy is -5.81 eV/atom. The crystal system is trigonal. The value obtained for the relative energy among the computed polymorphs is 0.1874 eV/atom. Its space-group type is R-3m (166).

Compound: Ti3BiH
Source: Alexandria via LeMat-Bulk
Functional: GGA-PBE
Structure: relaxed

POSCAR file:
```
Ti3BiH
1.0
-3.025 3.563 3.593
3.025 -3.563 3.593
3.025 3.563 -3.593
Ti Bi H
6 2 2
Direct
0.000 0.000 0.000
0.000 0.500 0.500
0.399 0.399 0.000
0.399 0.899 0.500
0.472 0.445 0.527
0.919 0.945 0.473
0.503 0.951 0.052
0.898 0.451 0.948
0.273 0.181 0.591
0.590 0.681 0.409
```

Calculated values
The final energy is -6.41 eV/atom. The crystal system is orthorhombic. The value obtained for the relative energy among the computed polymorphs is 0.0238 eV/atom. Its space-group type is Ima2 (46).

Compound: Ti4Bi3H
Source: Alexandria via LeMat-Bulk
Functional: GGA-PBE
Structure: relaxed

POSCAR file:
```
Ti4Bi3H
1.0
8.414 0.000 0.000
0.000 7.575 0.000
0.000 0.000 5.394
Ti Bi H
8 6 2
Direct
0.000 0.102 0.000
0.000 0.873 0.464
0.171 0.783 0.000
0.329 0.217 0.500
0.500 0.127 0.964
0.500 0.898 0.500
0.671 0.217 0.500
0.829 0.783 0.000
0.000 0.245 0.500
0.247 0.626 0.499
0.253 0.374 0.999
0.500 0.755 0.000
0.747 0.374 0.999
0.753 0.626 0.499
0.000 0.886 0.822
0.500 0.114 0.322
```

Calculated values
The final energy is -5.76 eV/atom. The crystal system is orthorhombic. Its space-group type is Pmn2_1 (31).

Compound: Ti3BiH
Source: Alexandria via LeMat-Bulk
Functional: GGA-PBE
Structure: relaxed

POSCAR file:
```
Ti3BiH
1.0
4.164 -3.498 0.000
4.164 3.498 0.000
0.000 0.000 5.554
Ti Bi H
6 2 2
Direct
0.000 0.000 0.000
0.000 0.000 0.500
0.126 0.475 0.750
0.475 0.126 0.250
0.525 0.874 0.750
0.874 0.525 0.250
0.349 0.651 0.250
0.651 0.349 0.750
0.188 0.812 0.750
0.812 0.188 0.250
```

Calculated values
The final energy is -6.34 eV/atom. The crystal system is orthorhombic. The value obtained for the relative energy among the computed polymorphs is 0.0885 eV/atom. Its space-group type is Cmcm (63).

Compound: Ti3BiH
Source: Alexandria via LeMat-Bulk
Functional: GGA-PBE
Structure: relaxed

POSCAR file:
```
Ti3BiH
1.0
4.218 0.000 0.000
0.000 4.218 0.000
0.000 0.000 4.218
Ti Bi H
3 1 1
Direct
0.000 0.000 0.500
0.000 0.500 0.000
0.500 0.000 0.000
0.500 0.500 0.500
0.000 0.000 0.000
```

Calculated values
The final energy is -6.43 eV/atom. The crystal system is cubic. The value obtained for the relative energy among the computed polymorphs is 0.0000 eV/atom. Its space-group type is Pm-3m (221).

Compound: Ti3BiH
Source: Alexandria via LeMat-Bulk
Functional: GGA-PBE
Structure: relaxed

POSCAR file:
```
Ti3BiH
1.0
0.000 5.563 5.563
5.563 0.000 5.563
5.563 5.563 0.000
Ti Bi H
12 4 4
Direct
0.059 0.059 0.691
0.059 0.691 0.059
0.059 0.691 0.691
0.309 0.309 0.941
0.309 0.941 0.309
0.309 0.941 0.941
0.691 0.059 0.059
0.691 0.059 0.691
0.691 0.691 0.059
0.941 0.309 0.309
0.941 0.309 0.941
0.941 0.941 0.309
0.000 0.500 0.500
0.500 0.000 0.500
0.500 0.500 0.000
0.500 0.500 0.500
0.000 0.000 0.000
0.000 0.000 0.500
0.000 0.500 0.000
0.500 0.000 0.000
```

Calculated values
The final energy is -6.10 eV/atom. The crystal system is cubic. The value obtained for the relative energy among the computed polymorphs is 0.3313 eV/atom. Its space-group type is Fd-3m (227).

Compound: Ti3BiH
Source: Alexandria via LeMat-Bulk
Functional: GGA-PBE
Structure: relaxed

POSCAR file:
```
Ti3BiH
1.0
5.068 0.000 0.000
0.000 5.747 0.000
-0.170 0.000 5.325
Ti Bi H
6 2 2
Direct
0.208 0.250 0.163
0.255 0.501 0.633
0.255 0.999 0.633
0.745 0.001 0.367
0.745 0.499 0.367
0.792 0.750 0.837
0.290 0.750 0.129
0.710 0.250 0.871
0.024 0.250 0.458
0.976 0.750 0.542
```

Calculated values
The final energy is -6.36 eV/atom. The crystal system is monoclinic. The value obtained for the relative energy among the computed polymorphs is 0.0764 eV/atom. Its space-group type is P2_1/m (11).

Compound: Ti3BiH
Source: Alexandria via LeMat-Bulk
Functional: GGA-PBE
Structure: relaxed

POSCAR file:
```
Ti3BiH
1.0
6.750 -1.893 0.000
6.750 1.893 0.000
-2.366 0.000 6.426
Ti Bi H
6 2 2
Direct
0.109 0.109 0.161
0.232 0.232 0.833
0.325 0.325 0.505
0.675 0.675 0.495
0.768 0.768 0.167
0.891 0.891 0.839
0.443 0.443 0.204
0.557 0.557 0.796
0.175 0.175 0.494
0.825 0.825 0.506
```

Calculated values
The final energy is -6.39 eV/atom. The crystal system is monoclinic. The value obtained for the relative energy among the computed polymorphs is 0.0440 eV/atom. Its space-group type is C2/m (12).

Compound: Ti3BiH2
Source: Alexandria via LeMat-Bulk
Functional: GGA-PBE
Structure: relaxed

POSCAR file:
```
Ti3BiH2
1.0
5.720 0.000 0.000
0.000 3.078 0.000
-0.044 0.000 9.471
Ti Bi H
6 2 4
Direct
0.062 0.250 0.127
0.165 0.250 0.613
0.380 0.250 0.879
0.620 0.750 0.121
0.835 0.750 0.387
0.938 0.750 0.873
0.320 0.750 0.360
0.680 0.250 0.640
0.229 0.750 0.765
0.413 0.250 0.082
0.587 0.750 0.918
0.771 0.250 0.235
```

Calculated values
The final energy is -5.90 eV/atom. The crystal system is monoclinic. Its space-group type is P2_1/m (11).

Compound: Ti3BiH
Source: Alexandria via LeMat-Bulk
Functional: GGA-PBE
Structure: relaxed

POSCAR file:
```
Ti3BiH
1.0
3.242 0.000 0.000
-1.621 2.807 0.000
0.000 0.000 18.215
Ti Bi H
6 2 2
Direct
0.000 0.000 0.250
0.000 0.000 0.750
0.333 0.667 0.133
0.333 0.667 0.367
0.667 0.333 0.633
0.667 0.333 0.867
0.000 0.000 0.000
0.000 0.000 0.500
0.333 0.667 0.250
0.667 0.333 0.750
```

Calculated values
The final energy is -6.15 eV/atom. The crystal system is hexagonal. The value obtained for the relative energy among the computed polymorphs is 0.2848 eV/atom. Its space-group type is P6_3/mmc (194).

Compound: Ti4Bi2H
Source: Alexandria via LeMat-Bulk
Functional: GGA-PBE
Structure: relaxed

POSCAR file:
```
Ti4Bi2H
1.0
5.422 0.000 0.000
0.000 5.766 0.000
-2.126 0.000 7.797
Ti Bi H
8 4 2
Direct
0.186 0.250 0.044
0.231 0.750 0.359
0.259 0.503 0.708
0.259 0.997 0.708
0.741 0.003 0.292
0.741 0.497 0.292
0.769 0.250 0.641
0.814 0.750 0.956
0.253 0.250 0.399
0.336 0.750 0.034
0.664 0.250 0.966
0.747 0.750 0.601
0.098 0.250 0.791
0.902 0.750 0.209
```

Calculated values
The final energy is -6.29 eV/atom. The crystal system is monoclinic. The value obtained for the relative energy among the computed polymorphs is 0.0629 eV/atom. Its space-group type is P2_1/m (11).

Compound: Ti3BiH
Source: Alexandria via LeMat-Bulk
Functional: GGA-PBE
Structure: relaxed

POSCAR file:
```
Ti3BiH
1.0
5.828 -4.841 0.000
5.828 4.841 0.000
-1.747 0.000 5.834
Ti Bi H
12 4 4
Direct
0.074 0.474 0.806
0.102 0.178 0.454
0.178 0.102 0.954
0.288 0.410 0.313
0.410 0.288 0.813
0.474 0.074 0.306
0.526 0.926 0.694
0.590 0.712 0.187
0.712 0.590 0.687
0.822 0.898 0.046
0.898 0.822 0.546
0.926 0.526 0.194
0.196 0.804 0.250
0.329 0.671 0.750
0.671 0.329 0.250
0.804 0.196 0.750
0.082 0.290 0.197
0.290 0.082 0.697
0.710 0.918 0.303
0.918 0.710 0.803
```

Calculated values
The final energy is -6.27 eV/atom. The crystal system is monoclinic. The value obtained for the relative energy among the computed polymorphs is 0.1586 eV/atom. Its space-group type is C2/c (15).

Compound: TiBiH2
Source: Alexandria via LeMat-Bulk
Functional: GGA-PBE
Structure: relaxed

POSCAR file:
```
TiBiH2
1.0
5.930 0.000 0.000
0.000 5.930 0.000
0.000 0.000 5.930
Ti Bi H
4 4 8
Direct
0.000 0.000 0.000
0.000 0.500 0.500
0.500 0.000 0.500
0.500 0.500 0.000
0.000 0.000 0.500
0.000 0.500 0.000
0.500 0.000 0.000
0.500 0.500 0.500
0.250 0.250 0.250
0.250 0.250 0.750
0.250 0.750 0.250
0.250 0.750 0.750
0.750 0.250 0.250
0.750 0.250 0.750
0.750 0.750 0.250
0.750 0.750 0.750
```

Calculated values
The final energy is -3.96 eV/atom. The crystal system is cubic. The value obtained for the relative energy among the computed polymorphs is 0.6294 eV/atom. Its space-group type is Fm-3m (225).

Compound: Ti2BiH
Source: Alexandria via LeMat-Bulk
Functional: GGA-PBE
Structure: relaxed

POSCAR file:
```
Ti2BiH
1.0
7.173 0.000 0.000
0.000 5.540 0.000
-1.797 0.000 6.573
Ti Bi H
8 4 4
Direct
0.042 0.136 0.324
0.042 0.364 0.824
0.248 0.625 0.536
0.248 0.875 0.036
0.752 0.125 0.964
0.752 0.375 0.464
0.958 0.636 0.176
0.958 0.864 0.676
0.346 0.117 0.692
0.346 0.383 0.192
0.654 0.617 0.808
0.654 0.883 0.308
0.172 0.661 0.787
0.172 0.839 0.287
0.828 0.161 0.713
0.828 0.339 0.213
```

Calculated values
The final energy is -6.00 eV/atom. The crystal system is monoclinic. The value obtained for the relative energy among the computed polymorphs is 0.0000 eV/atom. Its space-group type is P2_1/c (14).

Compound: TiBiH
Source: Alexandria via LeMat-Bulk
Functional: GGA-PBE
Structure: relaxed

POSCAR file:
```
TiBiH
1.0
5.494 0.000 0.000
0.000 3.510 0.000
-1.037 0.000 10.749
Ti Bi H
4 4 4
Direct
0.237 0.000 0.102
0.263 0.500 0.898
0.737 0.500 0.102
0.763 0.000 0.898
0.134 0.500 0.320
0.366 0.000 0.680
0.634 0.000 0.320
0.866 0.500 0.680
0.126 0.000 0.929
0.374 0.500 0.071
0.626 0.500 0.929
0.874 0.000 0.071
```

Calculated values
The final energy is -5.32 eV/atom. The crystal system is monoclinic. The value obtained for the relative energy among the computed polymorphs is 0.0541 eV/atom. Its space-group type is C2/m (12).

Compound: Ti3BiH
Source: Alexandria via LeMat-Bulk
Functional: GGA-PBE
Structure: relaxed

POSCAR file:
```
Ti3BiH
1.0
4.526 0.000 0.000
0.000 5.758 0.000
-2.031 0.000 6.839
Ti Bi H
6 2 2
Direct
0.107 0.250 0.222
0.295 0.504 0.599
0.295 0.996 0.599
0.705 0.004 0.401
0.705 0.496 0.401
0.893 0.750 0.778
0.122 0.750 0.206
0.878 0.250 0.794
0.365 0.750 0.795
0.635 0.250 0.205
```

Calculated values
The final energy is -6.25 eV/atom. The crystal system is monoclinic. The value obtained for the relative energy among the computed polymorphs is 0.1803 eV/atom. Its space-group type is P2_1/m (11).

Compound: Ti3BiH
Source: Alexandria via LeMat-Bulk
Functional: GGA-PBE
Structure: relaxed

POSCAR file:
```
Ti3BiH
1.0
2.740 1.582 6.716
-2.740 1.582 6.716
0.000 -3.163 6.716
Ti Bi H
6 2 2
Direct
0.085 0.702 0.366
0.298 0.634 0.915
0.366 0.085 0.702
0.634 0.915 0.298
0.702 0.366 0.085
0.915 0.298 0.634
0.171 0.171 0.171
0.829 0.829 0.829
0.332 0.332 0.332
0.668 0.668 0.668
```

Calculated values
The final energy is -6.17 eV/atom. The crystal system is trigonal. The value obtained for the relative energy among the computed polymorphs is 0.2598 eV/atom. Its space-group type is R-3 (148).

Compound: Ti3BiH
Source: Alexandria via LeMat-Bulk
Functional: GGA-PBE
Structure: relaxed

POSCAR file:
```
Ti3BiH
1.0
3.771 0.000 0.000
0.000 3.771 0.000
0.000 0.000 7.264
Ti Bi H
3 1 1
Direct
0.000 0.000 0.000
0.000 0.500 0.721
0.500 0.000 0.721
0.000 0.000 0.399
0.500 0.500 0.652
```

Calculated values
The final energy is -5.94 eV/atom. The crystal system is tetragonal. The value obtained for the relative energy among the computed polymorphs is 0.4912 eV/atom. Its space-group type is P4mm (99).

Compound: Ti3BiH
Source: Alexandria via LeMat-Bulk
Functional: GGA-PBE
Structure: relaxed

POSCAR file:
```
Ti3BiH
1.0
5.416 -1.642 0.000
5.416 1.642 0.000
-0.864 0.000 8.964
Ti Bi H
6 2 2
Direct
0.059 0.059 0.390
0.310 0.310 0.389
0.391 0.391 0.846
0.609 0.609 0.154
0.690 0.690 0.611
0.941 0.941 0.610
0.121 0.121 0.876
0.879 0.879 0.124
0.328 0.328 0.618
0.672 0.672 0.382
```

Calculated values
The final energy is -6.31 eV/atom. The crystal system is monoclinic. The value obtained for the relative energy among the computed polymorphs is 0.1180 eV/atom. Its space-group type is C2/m (12).

Compound: TiBiH
Source: Alexandria via LeMat-Bulk
Functional: GGA-PBE
Structure: relaxed

POSCAR file:
```
TiBiH
1.0
3.537 0.000 0.000
0.000 3.537 0.000
0.000 0.000 8.229
Ti Bi H
2 2 2
Direct
0.250 0.250 0.087
0.750 0.750 0.913
0.250 0.250 0.695
0.750 0.750 0.305
0.250 0.750 0.000
0.750 0.250 0.000
```

Calculated values
The final energy is -5.37 eV/atom. The crystal system is tetragonal. The value obtained for the relative energy among the computed polymorphs is 0.0000 eV/atom. Its space-group type is P4/nmm (129).

Compound: Ti3BiH
Source: Alexandria via LeMat-Bulk
Functional: GGA-PBE
Structure: relaxed

POSCAR file:
```
Ti3BiH
1.0
5.371 0.000 0.000
0.000 5.371 0.000
0.000 0.000 5.371
Ti Bi H
3 1 1
Direct
0.000 0.000 0.500
0.000 0.500 0.000
0.500 0.000 0.000
0.000 0.000 0.000
0.500 0.500 0.500
```

Calculated values
The final energy is -4.52 eV/atom. The crystal system is cubic. The value obtained for the relative energy among the computed polymorphs is 1.9066 eV/atom. Its space-group type is Pm-3m (221).

Compound: Ti3BiH
Source: Alexandria via LeMat-Bulk
Functional: GGA-PBE
Structure: relaxed

POSCAR file:
```
Ti3BiH
1.0
7.546 0.000 0.000
0.000 5.446 0.000
-1.322 0.000 7.752
Ti Bi H
12 4 4
Direct
0.042 0.097 0.180
0.042 0.403 0.680
0.172 0.559 0.073
0.172 0.941 0.573
0.308 0.118 0.937
0.308 0.382 0.437
0.692 0.618 0.563
0.692 0.882 0.063
0.828 0.059 0.427
0.828 0.441 0.927
0.958 0.597 0.320
0.958 0.903 0.820
0.398 0.622 0.805
0.398 0.878 0.305
0.602 0.122 0.695
0.602 0.378 0.195
0.062 0.245 0.443
0.062 0.255 0.943
0.938 0.745 0.057
0.938 0.755 0.557
```

Calculated values
The final energy is -6.32 eV/atom. The crystal system is monoclinic. The value obtained for the relative energy among the computed polymorphs is 0.1087 eV/atom. Its space-group type is P2_1/c (14).